Here is a relaxed structure of TaTi2H2 from the Alexandria database. Energies are from GGA-PBEsol.

Calculated values
Uncorrected energy in eV/atom: -7.404
V in Å³/atom: 10.9

a b c (Å): 3.2499 3.2499 5.6587
angles (deg): 106.69 106.69 90.00
Fractional coordinates of all 5 atoms:
H (0.2500, 0.7500, 0.5000)
H (0.7500, 0.2500, 0.5000)
Ta (0.0000, 0.0000, 0.0000)
Ti (0.3455, 0.3455, 0.6910)
Ti (0.6545, 0.6545, 0.3090)